Cd2CuSe: optimized geometry, PBE-GGA.

a = 7.106 Å, b = 7.106 Å, c = 6.311 Å
α = 55.74°, β = 55.74°, γ = 90.00°
Element x y z (fractional)
Cd (0.135, 0.625, 0.250)
Cd (0.615, 0.125, 0.250)
Cd (0.375, 0.385, 0.750)
Se (0.000, 0.000, 0.000)
Cu (0.250, 0.750, 0.500)
Se (0.750, 0.250, 0.500)
Cd (0.875, 0.865, 0.750)
Cu (0.500, 0.500, 0.000)

Results
The volume is 24.104 Å³/atom. Its space group is I-42d. Its total DFT energy (no corrections) is -2.21 eV/atom. The energy relative to the elements, uncorrected is 0.1457 eV per atom.